[1]
Entry from Alexandria via LeMat-Bulk: an optimized crystal structure of Pm2Y12Ho5 (PBE-GGA).

```
Pm2Y12Ho5
1.0
9.320 0.000 0.000
-4.660 11.338 -1.822
0.000 -5.263 6.772
Y Ho Pm
12 5 2
direct
0.558 0.115 0.786 Y
0.088 0.176 0.297 Y
0.442 0.885 0.214 Y
0.819 0.255 0.599 Y
0.564 0.745 0.401 Y
0.974 0.308 0.067 Y
0.666 0.692 0.933 Y
0.181 0.745 0.401 Y
0.436 0.255 0.599 Y
0.026 0.692 0.933 Y
0.334 0.308 0.067 Y
0.912 0.824 0.703 Y
0.231 0.463 0.887 Ho
0.301 0.602 0.615 Ho
0.769 0.537 0.113 Ho
0.699 0.398 0.385 Ho
0.000 0.000 0.500 Ho
0.679 0.000 0.000 Pm
0.321 0.000 0.000 Pm
```

Density of states at the Fermi level, states/eV/atom: 1.553
M_tot, μB/atom: 0.00
Electronic total energy, eV per atom: -5.66
ΔE to the lowest computed polymorph, meV per atom: 0
Energy of formation from the pure elements, eV per atom: 0.13

[2]
Entry from Alexandria via LeMat-Bulk: an optimized crystal structure of Sm2TmMg9 (PBE-GGA).

```
Sm2TmMg9
1.0
6.056 0.000 0.000
3.028 5.245 0.000
3.028 1.748 9.744
Mg Sm Tm
9 2 1
direct
0.334 0.334 0.998 Mg
0.415 0.921 0.250 Mg
0.079 0.585 0.750 Mg
0.585 0.585 0.750 Mg
0.921 0.415 0.250 Mg
0.666 0.666 0.002 Mg
0.415 0.415 0.250 Mg
0.585 0.079 0.750 Mg
0.500 0.500 0.500 Mg
0.142 0.142 0.575 Sm
0.858 0.858 0.425 Sm
0.000 0.000 0.000 Tm
```

Density of states at the Fermi level, states/eV/atom: 0.973
M_tot, μB/atom: 0.00
Electronic total energy, eV per atom: -2.38
Energy of formation from the pure elements, eV per atom: -0.03

[3]
Entry from Alexandria via LeMat-Bulk: an optimized crystal structure of Hf4Ga2C (PBE-GGA).

```
Hf4Ga2C
1.0
3.296 0.000 0.000
0.000 7.427 0.000
0.000 0.000 10.663
C Ga Hf
2 4 8
direct
0.000 0.500 0.000 C
0.000 0.000 0.500 C
0.500 0.061 0.139 Ga
0.500 0.939 0.861 Ga
0.500 0.561 0.361 Ga
0.500 0.439 0.639 Ga
0.000 0.631 0.811 Hf
0.000 0.369 0.189 Hf
0.500 0.185 0.434 Hf
0.500 0.685 0.066 Hf
0.500 0.315 0.934 Hf
0.500 0.815 0.566 Hf
0.000 0.869 0.311 Hf
0.000 0.131 0.689 Hf
```

Density of states at the Fermi level, states/eV/atom: 0.676
M_tot, μB/atom: 0.00
Electronic total energy, eV per atom: -8.35
ΔE to the lowest computed polymorph, meV per atom: 0
Energy of formation from the pure elements, eV per atom: -0.48

[4]
Entry from Alexandria via LeMat-Bulk: an optimized crystal structure of MgPdRhO6 (PBE-GGA).

```
MgPdRhO6
1.0
5.145 0.000 0.000
-2.573 4.456 0.000
0.000 0.000 8.870
Pd O Mg Rh
2 12 2 2
direct
0.667 0.333 0.750 Pd
0.333 0.667 0.250 Pd
0.653 0.005 0.371 O
0.352 0.347 0.371 O
0.995 0.347 0.129 O
0.648 0.653 0.629 O
0.005 0.653 0.871 O
0.347 0.352 0.871 O
0.648 0.995 0.871 O
0.995 0.648 0.371 O
0.653 0.648 0.129 O
0.352 0.005 0.129 O
0.347 0.995 0.629 O
0.005 0.352 0.629 O
0.000 0.000 0.500 Mg
0.000 0.000 0.000 Mg
0.333 0.667 0.750 Rh
0.667 0.333 0.250 Rh
```

Density of states at the Fermi level, states/eV/atom: 0.758
M_tot, μB/atom: 0.32
Electronic total energy, eV per atom: -5.71
Uncorrected formation energy, meV/atom: -837

[5]
Entry from Alexandria via LeMat-Bulk: an optimized crystal structure of TiHSN2 (PBE-GGA).

```
TiHSN2
1.0
-1.079 -1.707 -3.253
1.374 -3.332 1.293
-4.509 -1.062 2.053
H S N Ti
1 1 2 1
direct
0.500 0.500 0.500 H
0.000 0.000 0.500 S
0.000 0.500 0.000 N
0.500 0.000 0.000 N
0.000 0.000 0.000 Ti
```

Density of states at the Fermi level, states/eV/atom: 0.543
M_tot, μB/atom: 0.16
Electronic total energy, eV per atom: -5.45
ΔE to the lowest computed polymorph, meV per atom: 0

[6]
Entry from Alexandria via LeMat-Bulk: an optimized crystal structure of ScCoGe2 (PBE-GGA).

```
ScCoGe2
1.0
-4.195 4.344 5.195
0.112 -6.994 5.939
8.596 3.528 3.993
Ge Sc Co
24 12 12
direct
0.343 0.342 0.319 Ge
0.343 0.842 0.181 Ge
0.343 0.658 0.681 Ge
0.000 0.374 0.604 Ge
0.657 0.658 0.681 Ge
0.000 0.626 0.396 Ge
0.343 0.158 0.819 Ge
0.000 0.041 0.376 Ge
0.657 0.158 0.819 Ge
0.500 0.627 0.404 Ge
0.000 0.126 0.104 Ge
0.500 0.957 0.623 Ge
0.500 0.373 0.596 Ge
0.500 0.043 0.377 Ge
0.657 0.342 0.319 Ge
0.500 0.873 0.904 Ge
0.657 0.842 0.181 Ge
0.000 0.541 0.124 Ge
0.500 0.127 0.096 Ge
0.000 0.459 0.876 Ge
0.000 0.874 0.896 Ge
0.500 0.457 0.877 Ge
0.000 0.959 0.624 Ge
0.500 0.543 0.123 Ge
0.000 0.336 0.322 Sc
0.762 0.826 0.452 Sc
0.238 0.826 0.452 Sc
0.000 0.664 0.678 Sc
0.238 0.174 0.548 Sc
0.000 0.164 0.822 Sc
0.762 0.674 0.952 Sc
0.238 0.326 0.048 Sc
0.762 0.174 0.548 Sc
0.000 0.836 0.178 Sc
0.762 0.326 0.048 Sc
0.238 0.674 0.952 Sc
0.253 0.411 0.754 Co
0.747 0.411 0.754 Co
0.753 0.000 0.000 Co
0.253 0.911 0.746 Co
0.247 0.000 0.000 Co
0.253 0.089 0.254 Co
0.747 0.589 0.246 Co
0.753 0.500 0.500 Co
0.247 0.500 0.500 Co
0.747 0.911 0.746 Co
0.253 0.589 0.246 Co
0.747 0.089 0.254 Co
```

Density of states at the Fermi level, states/eV/atom: 0.598
M_tot, μB/atom: 0.00
Electronic total energy, eV per atom: -6.26
Energy of formation from the pure elements, eV per atom: -0.59